[1]
# MgScZnIn

A geometry-optimized MgScZnIn structure (PBE-GGA, Alexandria).

a = 3.987 Å, b = 4.502 Å, c = 4.536 Å
α = 90.00°, β = 90.00°, γ = 90.00°
Sites, in units of the cell vectors:
Sc 0.500 0.000 0.500
Zn 0.000 0.000 0.000
Mg 0.500 0.500 0.000
In 0.000 0.500 0.500

Summary:
Energy relative to the elements, meV per atom: -291

---

[2]
# In2SiIrRh

A geometry-optimized In2SiIrRh structure (PBE-GGA, Alexandria).

a = 4.991 Å, b = 4.380 Å, c = 4.991 Å
α = 90.00°, β = 90.00°, γ = 90.00°
Sites, in units of the cell vectors:
In 0.000 0.000 0.500
Rh 0.500 0.500 0.500
Si 0.000 0.000 0.000
Ir 0.000 0.500 0.000
In 0.500 0.000 0.000

Summary:
Uncorrected formation energy, meV/atom: 822

---

[3]
# AlSb2PtI

A geometry-optimized AlSb2PtI structure (PBE-GGA, Alexandria).

a = 5.242 Å, b = 5.242 Å, c = 5.725 Å
α = 90.00°, β = 90.00°, γ = 90.00°
Sites, in units of the cell vectors:
Pt 0.000 0.000 0.000
I 0.000 0.000 0.500
Sb 0.500 0.000 0.000
Al 0.500 0.500 0.500
Sb 0.000 0.500 0.000

Summary:
Energy relative to the lowest polymorph listed for this composition, meV/atom: 0
Uncorrected formation energy, meV/atom: 469

---

[4]
# Ag2OsRhSe

A geometry-optimized Ag2OsRhSe structure (PBE-GGA, Alexandria).

a = 5.103 Å, b = 4.589 Å, c = 5.103 Å
α = 90.00°, β = 90.00°, γ = 90.00°
Site moments in Bohr magnetons follow the coordinates.
Sites, in units of the cell vectors:
Ag 0.000 0.000 0.500  0.08
Os 0.000 0.000 0.000  0.60
Ag 0.500 0.000 0.000  0.03
Se 0.500 0.500 0.500  0.08
Rh 0.000 0.500 0.000  0.09

Summary:
Uncorrected formation energy, meV/atom: 1425

---

[5]
# Ac2HoRhO6

A geometry-optimized Ac2HoRhO6 structure (PBE-GGA, Alexandria).

a = 5.799 Å, b = 6.098 Å, c = 8.354 Å
α = 90.00°, β = 90.00°, γ = 90.00°
Sites, in units of the cell vectors:
O 0.500 0.212 0.744
O 0.750 0.992 0.500
O 0.250 0.008 0.000
Ac 0.000 0.212 0.728
O 0.250 0.992 0.500
Ho 0.500 0.282 0.000
Ho 0.000 0.718 0.500
O 0.243 0.453 0.500
O 0.000 0.788 0.756
Rh 0.000 0.774 0.000
O 0.257 0.547 0.000
Ac 0.000 0.212 0.272
Ac 0.500 0.788 0.772
O 0.750 0.008 0.000
O 0.757 0.453 0.500
O 0.500 0.212 0.256
Rh 0.500 0.226 0.500
O 0.000 0.788 0.244
O 0.743 0.547 0.000
Ac 0.500 0.788 0.228

Summary:
Uncorrected formation energy, meV/atom: -2668

---

[6]
# LaNdTmHg

A geometry-optimized LaNdTmHg structure (PBE-GGA, Alexandria).

a = 5.557 Å, b = 5.557 Å, c = 5.557 Å
α = 60.00°, β = 60.00°, γ = 60.00°
Sites, in units of the cell vectors:
Hg 0.000 0.000 0.000
Tm 0.500 0.500 0.500
Nd 0.750 0.750 0.750
La 0.250 0.250 0.250

Summary:
Energy relative to the lowest polymorph listed for this composition, meV/atom: 130
Energy relative to the elements, meV per atom: -97

---

[7]
# InPd

A geometry-optimized InPd structure (PBE-GGA, Alexandria).

a = 8.158 Å, b = 8.158 Å, c = 8.158 Å
α = 90.00°, β = 90.00°, γ = 90.00°
Sites, in units of the cell vectors:
In 0.803 0.197 0.197
Pd 0.121 0.879 0.879
Pd 0.621 0.379 0.379
In 0.303 0.303 0.303
In 0.697 0.303 0.697
Pd 0.379 0.621 0.379
In 0.803 0.803 0.803
Pd 0.621 0.621 0.621
In 0.197 0.197 0.803
In 0.303 0.697 0.697
In 0.697 0.697 0.303
Pd 0.879 0.121 0.879
Pd 0.121 0.121 0.121
In 0.197 0.803 0.197
Pd 0.379 0.379 0.621
Pd 0.879 0.879 0.121

Summary:
Energy relative to the elements, meV per atom: -25

---

[8]
# LaBiMoW2

A geometry-optimized LaBiMoW2 structure (PBE-GGA, Alexandria).

a = 5.080 Å, b = 5.776 Å, c = 5.080 Å
α = 90.00°, β = 90.00°, γ = 90.00°
Site moments in Bohr magnetons follow the coordinates.
Sites, in units of the cell vectors:
Mo 0.500 0.500 0.500  3.12
La 0.000 0.500 0.000  0.06
W 0.000 0.000 0.500  -0.71
W 0.500 0.000 0.000  -0.81
Bi 0.000 0.000 0.000  0.04

Summary:
Energy relative to the elements, meV per atom: 2633

---

[9]
# K2TeH10O9

A geometry-optimized K2TeH10O9 structure (PBE-GGA, Alexandria).

a = 8.775 Å, b = 8.775 Å, c = 17.906 Å
α = 67.63°, β = 67.63°, γ = 47.33°
Sites, in units of the cell vectors:
O 0.639 0.494 0.304
O 0.620 0.014 0.310
O 0.312 0.743 0.028
H 0.514 0.907 0.845
H 0.304 0.553 0.512
O 0.255 0.136 0.066
H 0.411 0.033 0.763
H 0.033 0.411 0.263
O 0.021 0.803 0.229
O 0.050 0.431 0.311
H 0.794 0.802 0.622
O 0.743 0.312 0.528
O 0.197 0.979 0.271
O 0.431 0.050 0.811
O 0.380 0.986 0.690
H 0.883 0.878 0.764
H 0.553 0.304 0.012
H 0.122 0.117 0.736
O 0.668 0.623 0.911
K 0.103 0.921 0.592
K 0.897 0.079 0.408
O 0.623 0.668 0.411
H 0.696 0.447 0.488
Te 0.909 0.567 0.923
H 0.578 0.625 0.835
H 0.486 0.093 0.155
O 0.014 0.620 0.810
K 0.724 0.463 0.649
H 0.206 0.198 0.378
H 0.382 0.685 0.451
K 0.276 0.537 0.351
O 0.850 0.495 0.046
O 0.255 0.089 0.429
H 0.759 0.463 0.258
O 0.332 0.377 0.089
O 0.150 0.505 0.954
O 0.950 0.569 0.689
O 0.377 0.332 0.589
O 0.803 0.021 0.729
Te 0.567 0.909 0.423
H 0.463 0.759 0.758
H 0.668 0.052 0.737
H 0.093 0.486 0.655
O 0.494 0.639 0.804
H 0.241 0.537 0.742
O 0.745 0.911 0.571
H 0.878 0.883 0.264
H 0.967 0.589 0.737
K 0.079 0.897 0.908
H 0.315 0.618 0.049
H 0.537 0.241 0.242
H 0.625 0.578 0.335
O 0.986 0.380 0.190
K 0.537 0.276 0.851
O 0.506 0.361 0.196
H 0.117 0.122 0.236
O 0.089 0.255 0.929
O 0.569 0.950 0.189
H 0.948 0.332 0.763
O 0.979 0.197 0.771
O 0.745 0.864 0.934
O 0.911 0.745 0.071
K 0.463 0.724 0.149
O 0.361 0.506 0.696
H 0.618 0.315 0.549
H 0.447 0.696 0.988
O 0.688 0.257 0.972
O 0.495 0.850 0.546
O 0.136 0.255 0.566
H 0.237 0.150 0.012
Te 0.091 0.433 0.077
H 0.422 0.375 0.165
H 0.685 0.382 0.951
H 0.052 0.668 0.237
Te 0.433 0.091 0.577
H 0.375 0.422 0.665
H 0.332 0.948 0.263
H 0.802 0.794 0.122
H 0.850 0.763 0.488
O 0.505 0.150 0.454
H 0.589 0.967 0.237
O 0.864 0.745 0.434
O 0.257 0.688 0.472
H 0.763 0.850 0.988
H 0.150 0.237 0.512
K 0.921 0.103 0.092
H 0.907 0.514 0.345
H 0.198 0.206 0.878

Summary:
Calculated total energy, eV/cell: -438.092

---

[10]
# Ta2SbP

A geometry-optimized Ta2SbP structure (PBE-GGA, Alexandria).

a = 4.635 Å, b = 4.635 Å, c = 4.635 Å
α = 60.00°, β = 60.00°, γ = 60.00°
Sites, in units of the cell vectors:
Ta 0.250 0.250 0.250
P 0.000 0.000 0.000
Sb 0.500 0.500 0.500
Ta 0.750 0.750 0.750

Summary:
Uncorrected formation energy, meV/atom: -39

---

[11]
# Pm3HgIr

A geometry-optimized Pm3HgIr structure (PBE-GGA, Alexandria).

a = 4.899 Å, b = 7.438 Å, c = 15.405 Å
α = 90.00°, β = 90.00°, γ = 90.00°
Sites, in units of the cell vectors:
Hg 0.250 0.098 0.186
Ir 0.750 0.230 0.456
Pm 0.250 0.868 0.954
Pm 0.750 0.487 0.900
Pm 0.750 0.987 0.600
Pm 0.250 0.013 0.400
Ir 0.250 0.770 0.544
Pm 0.250 0.686 0.721
Ir 0.750 0.730 0.044
Pm 0.750 0.814 0.221
Pm 0.750 0.314 0.279
Pm 0.250 0.186 0.779
Hg 0.250 0.598 0.314
Pm 0.250 0.368 0.546
Hg 0.750 0.402 0.686
Ir 0.250 0.270 0.956
Pm 0.250 0.513 0.100
Hg 0.750 0.902 0.814
Pm 0.750 0.632 0.454
Pm 0.750 0.132 0.046

Summary:
Energy relative to the lowest polymorph listed for this composition, meV/atom: 0
Energy relative to the elements, meV per atom: -541

---

[12]
# Os2AuCl

A geometry-optimized Os2AuCl structure (PBE-GGA, Alexandria).

a = 2.888 Å, b = 2.879 Å, c = 8.562 Å
α = 89.49°, β = 90.00°, γ = 90.00°
Sites, in units of the cell vectors:
Cl 0.500 0.759 0.800
Os 0.500 0.248 0.215
Au 0.000 0.741 0.456
Os 0.000 0.752 0.029

Summary:
Energy relative to the lowest polymorph listed for this composition, meV/atom: 0
Uncorrected formation energy, meV/atom: 327

---

[13]
# La5ZnCd

A geometry-optimized La5ZnCd structure (PBE-GGA, Alexandria).

a = 6.625 Å, b = 6.625 Å, c = 12.183 Å
α = 77.27°, β = 77.27°, γ = 62.00°
Sites, in units of the cell vectors:
La 0.385 0.087 0.355
Zn 0.000 0.000 0.500
Cd 0.433 0.567 0.250
La 0.087 0.385 0.855
La 0.766 0.524 0.440
La 0.913 0.615 0.145
La 0.615 0.913 0.645
Cd 0.567 0.433 0.750
La 0.041 0.959 0.750
La 0.524 0.766 0.940
Zn 0.000 0.000 0.000
La 0.476 0.234 0.060
La 0.234 0.476 0.560
La 0.959 0.041 0.250

Summary:
Energy relative to the elements, meV per atom: -57

---

[14]
# Nd3Y3Th

A geometry-optimized Nd3Y3Th structure (PBE-GGA, Alexandria).

a = 8.931 Å, b = 8.931 Å, c = 8.931 Å
α = 58.88°, β = 58.88°, γ = 58.88°
Sites, in units of the cell vectors:
Th 0.657 0.657 0.657
Th 0.343 0.343 0.343
Y 0.176 0.939 0.710
Nd 0.564 0.073 0.714
Y 0.061 0.290 0.824
Y 0.290 0.824 0.061
Y 0.824 0.061 0.290
Nd 0.073 0.714 0.564
Nd 0.436 0.927 0.286
Nd 0.714 0.564 0.073
Nd 0.286 0.436 0.927
Y 0.710 0.176 0.939
Nd 0.927 0.286 0.436
Y 0.939 0.710 0.176

Summary:
Energy relative to the elements, meV per atom: 247

---

[15]
# RbNaSi3

A geometry-optimized RbNaSi3 structure (PBE-GGA, Alexandria).

a = 5.720 Å, b = 5.720 Å, c = 5.720 Å
α = 90.00°, β = 90.00°, γ = 90.00°
Sites, in units of the cell vectors:
Na 0.500 0.500 0.500
Si 0.000 0.500 0.000
Si 0.500 0.000 0.000
Rb 0.000 0.000 0.000
Si 0.000 0.000 0.500

Summary:
Energy relative to the lowest polymorph listed for this composition, meV/atom: 695
Uncorrected formation energy, meV/atom: 1856

---

[16]
# Rb4PuPa3Te8

A geometry-optimized Rb4PuPa3Te8 structure (PBE-GGA, Alexandria).

a = 8.986 Å, b = 10.146 Å, c = 8.986 Å
α = 116.29°, β = 120.00°, γ = 90.00°
Site moments in Bohr magnetons follow the coordinates.
Sites, in units of the cell vectors:
Rb 0.000 0.000 0.000  0.00
Te 0.730 0.704 0.967  -0.05
Te 0.270 0.296 0.033  -0.05
Te 0.763 0.296 0.526  -0.05
Rb 0.500 0.000 0.500  0.00
Rb 0.000 0.000 0.500  0.00
Pa 0.000 0.500 0.500  1.45
Te 0.763 0.296 0.033  -0.05
Te 0.735 0.705 0.470  -0.03
Pa 0.500 0.500 0.500  1.45
Rb 0.500 0.000 0.000  0.00
Te 0.237 0.704 0.474  -0.05
Te 0.237 0.704 0.967  -0.05
Te 0.265 0.295 0.530  -0.03
Pa 0.500 0.500 0.000  1.45
Pu 0.000 0.500 0.000  5.49

Summary:
Uncorrected formation energy, meV/atom: -972

---

[17]
# ScNi3H

A geometry-optimized ScNi3H structure (PBE-GGA, Alexandria).

a = 5.058 Å, b = 5.058 Å, c = 4.928 Å
α = 90.00°, β = 90.00°, γ = 112.51°
Sites, in units of the cell vectors:
Ni 0.118 0.476 0.750
Sc 0.604 0.396 0.750
Sc 0.396 0.604 0.250
H 0.135 0.865 0.250
Ni 0.000 0.000 0.000
Ni 0.524 0.882 0.750
H 0.865 0.135 0.750
Ni 0.000 0.000 0.500
Ni 0.882 0.524 0.250
Ni 0.476 0.118 0.250

Summary:
Energy relative to the lowest polymorph listed for this composition, meV/atom: 300

---

[18]
# Na2Tl3In9

A geometry-optimized Na2Tl3In9 structure (PBE-GGA, Alexandria).

a = 4.972 Å, b = 9.720 Å, c = 9.720 Å
α = 66.92°, β = 75.18°, γ = 75.18°
Sites, in units of the cell vectors:
In 0.674 0.690 0.963
In 0.865 0.851 0.420
In 0.135 0.149 0.580
Na 0.500 0.700 0.300
In 0.135 0.580 0.149
In 0.674 0.963 0.690
Tl 0.000 0.000 0.000
In 0.865 0.420 0.851
In 0.326 0.037 0.310
In 0.326 0.310 0.037
Tl 0.309 0.691 0.691
In 0.000 0.500 0.500
Tl 0.691 0.309 0.309
Na 0.500 0.300 0.700

Summary:
Energy relative to the elements, meV per atom: -2

---

[19]
# VReMo2

A geometry-optimized VReMo2 structure (PBE-GGA, Alexandria).

a = 3.119 Å, b = 4.394 Å, c = 4.394 Å
α = 90.00°, β = 90.00°, γ = 90.00°
Sites, in units of the cell vectors:
Mo 0.000 0.500 0.000
V 0.500 0.000 0.000
Re 0.500 0.500 0.500
Mo 0.000 0.000 0.500

Summary:
Energy relative to the lowest polymorph listed for this composition, meV/atom: 13
Energy relative to the elements, meV per atom: -121

---

[20]
# CdPb2

A geometry-optimized CdPb2 structure (PBE-GGA, Alexandria).

a = 4.938 Å, b = 4.938 Å, c = 3.976 Å
α = 90.00°, β = 90.00°, γ = 90.00°
Sites, in units of the cell vectors:
Cd 0.000 0.000 0.000
Pb 0.500 0.000 0.500
Pb 0.000 0.500 0.500

Summary:
Energy relative to the lowest polymorph listed for this composition, meV/atom: 121
Energy relative to the elements, meV per atom: 155

---

| no. | magnetization (μB/cell) |
| --- | --- |
| 1 | 0.0 |
| 2 | 0.0 |
| 3 | 0.0 |
| 4 | 1.0 |
| 5 | 0.0 |
| 6 | 0.0 |
| 7 | 0.0 |
| 8 | 2.0 |
| 9 | 0.0 |
| 10 | 0.0 |
| 11 | 0.0 |
| 12 | 0.0 |
| 13 | 0.0 |
| 14 | 0.0 |
| 15 | 0.0 |
| 16 | 11.0 |
| 17 | 0.0 |
| 18 | 0.0 |
| 19 | 0.0 |
| 20 | 0.0 |